Computed, not measured: an optimized crystal structure of Na5AsCl2O4 at the GGA-PBE level of DFT.

abc: 7.375 9.421 5.957
angles: 90.00 90.00 90.00
Space group Amm2 (No. 38)
Inequivalent atoms, fractional coordinates:
Na (0.000, 0.000, 0.000) x2
Na (0.290, 0.182, 0.390) x8
As (0.500, 0.000, 0.927) x2
Cl (0.000, 0.185, 0.655) x4
O (0.313, 0.000, 0.104) x4
O (0.500, 0.149, 0.754) x4

ΔE_f (raw) ... -1.66 eV per atom